Record 1
The following is a PBE calculation of a relaxed Nd3TlC crystal, from the Alexandria database.

Computed properties:
Crystal system = cubic
Density = 8.0 Mg/m³
Total DFT energy (no corrections) = -0.4014 Ry/atom
Calculated volume = 135 Å³ per cell

abc: 5.1321 5.1321 5.1321
angles: 90.00 90.00 90.00
Sites, in units of the cell vectors:
Nd 0.0000 0.0000 0.5000
Nd 0.0000 0.5000 0.0000
Nd 0.5000 0.0000 0.0000
Tl 0.5000 0.5000 0.5000
C 0.0000 0.0000 0.0000


Record 2
The following is a PBE calculation of a relaxed Ac6AgRu3 crystal, from the Alexandria database.

Computed properties:
Crystal system = monoclinic
Density = 9.0 Mg/m³
Total DFT energy (no corrections) = -0.4193 Ry/atom
Calculated volume = 656 Å³ per cell

abc: 12.6011 4.3610 12.7488
angles: 90.00 110.58 90.00
Sites, in units of the cell vectors:
Ac 0.0362 0.2500 0.3759
Ac 0.1026 0.7500 0.9500
Ac 0.2463 0.2500 0.7878
Ac 0.2525 0.7500 0.2744
Ac 0.4146 0.2500 0.5706
Ac 0.4436 0.2500 0.1112
Ac 0.5564 0.7500 0.8888
Ac 0.5854 0.7500 0.4294
Ac 0.7475 0.2500 0.7256
Ac 0.7537 0.7500 0.2122
Ac 0.8974 0.2500 0.0500
Ac 0.9638 0.7500 0.6241
Ag 0.2056 0.7500 0.5620
Ag 0.7944 0.2500 0.4380
Ru 0.0062 0.7500 0.2124
Ru 0.3315 0.7500 0.9498
Ru 0.4107 0.2500 0.3368
Ru 0.5893 0.7500 0.6632
Ru 0.6685 0.2500 0.0502
Ru 0.9938 0.2500 0.7876


Record 3
The following is a PBE calculation of a relaxed CdIn2Sb crystal, from the Alexandria database.

Computed properties:
Crystal system = orthorhombic
Density = 6.9 Mg/m³
Calculated volume = 224 Å³ per cell
Formation energy (no corrections) = 0.046 eV/atom

abc: 4.1141 4.4538 12.2318
angles: 90.00 90.00 90.00
Sites, in units of the cell vectors:
Cd 0.0000 0.0000 0.0000
Cd 0.5000 0.5000 0.5000
In 0.0000 0.5000 0.2049
In 0.0000 0.5000 0.7951
In 0.5000 0.0000 0.2951
In 0.5000 0.0000 0.7049
Sb 0.0000 0.0000 0.5000
Sb 0.5000 0.5000 0.0000


Record 4
The following is a PBE calculation of a relaxed Er4Tm5Sc2 crystal, from the Alexandria database.

Computed properties:
Crystal system = orthorhombic
Density = 7.9 Mg/m³
Total DFT energy (no corrections) = -0.3359 Ry/atom
Calculated volume = 338 Å³ per cell

abc: 12.1058 12.1058 12.1058
angles: 163.78 136.90 46.34
Sites, in units of the cell vectors:
Er 0.0989 0.0989 0.0000
Er 0.1920 0.5000 0.6920
Er 0.8080 0.5000 0.3080
Er 0.9011 0.9011 0.0000
Tm 0.1493 0.3502 0.7991
Tm 0.4489 0.6498 0.7991
Tm 0.5000 0.0000 0.5000
Tm 0.5511 0.3502 0.2009
Tm 0.8507 0.6498 0.2009
Sc 0.2302 0.2302 0.0000
Sc 0.7698 0.7698 0.0000


Record 5
The following is a PBE calculation of a relaxed Zr3FeRu crystal, from the Alexandria database.

Computed properties:
Crystal system = cubic
Density = 6.8 Mg/m³
Total DFT energy (no corrections) = -0.6052 Ry/atom
Calculated volume = 105 Å³ per cell

abc: 4.7131 4.7131 4.7131
angles: 90.00 90.00 90.00
Sites, in units of the cell vectors:
Zr 0.0000 0.0000 0.5000
Zr 0.0000 0.5000 0.0000
Zr 0.5000 0.0000 0.0000
Fe 0.0000 0.0000 0.0000
Ru 0.5000 0.5000 0.5000


Record 6
The following is a PBE calculation of a relaxed La7DyEr4 crystal, from the Alexandria database.

Computed properties:
Crystal system = triclinic
Density = 7.2 Mg/m³
Total DFT energy (no corrections) = -0.3500 Ry/atom
Calculated volume = 414 Å³ per cell

abc: 6.3972 7.3424 9.0533
angles: 90.04 103.49 90.05
Sites, in units of the cell vectors:
La 0.0000 0.0000 0.0000
La 0.2210 0.4994 0.6661
La 0.2811 0.7503 0.3348
La 0.5000 0.2473 0.0040
La 0.5000 0.7527 0.9960
La 0.7189 0.2497 0.6652
La 0.7790 0.5006 0.3339
Dy 0.0000 0.5000 0.0000
Er 0.2195 0.9991 0.6630
Er 0.2761 0.2451 0.3322
Er 0.7239 0.7549 0.6678
Er 0.7805 0.0009 0.3370


Record 7
The following is a PBE calculation of a relaxed Th3Ga4Pd4 crystal, from the Alexandria database.

Computed properties:
Crystal system = orthorhombic
Density = 10.2 Mg/m³
Total DFT energy (no corrections) = -0.4251 Ry/atom
Calculated volume = 228 Å³ per cell

abc: 13.5360 13.5360 13.5360
angles: 163.77 160.83 25.22
Sites, in units of the cell vectors:
Th 0.0000 0.0000 0.0000
Th 0.3541 0.8541 0.5000
Th 0.6459 0.1459 0.5000
Ga 0.1931 0.6931 0.5000
Ga 0.4514 0.4514 0.0000
Ga 0.5486 0.5486 0.0000
Ga 0.8069 0.3069 0.5000
Pd 0.0956 0.5956 0.5000
Pd 0.2565 0.2565 0.0000
Pd 0.7435 0.7435 0.0000
Pd 0.9044 0.4044 0.5000


Record 8
The following is a PBE calculation of a relaxed MgBrF3 crystal, from the Alexandria database.

Computed properties:
Crystal system = cubic
Density = 2.8 Mg/m³
Calculated volume = 96 Å³ per cell
Formation energy (no corrections) = -0.701 eV/atom

abc: 4.5803 4.5803 4.5803
angles: 90.00 90.00 90.00
Sites, in units of the cell vectors:
Mg 0.0000 0.0000 0.0000
Br 0.5000 0.5000 0.5000
F 0.0000 0.5000 0.5000
F 0.5000 0.0000 0.5000
F 0.5000 0.5000 0.0000


Look up the density of the fourth one.
7.9 Mg/m³


Which of these has the lowest density?
MgBrF3


Which formula does entry 6 have?
La7DyEr4


Please write out number 5 again, unchanged.
The following is a PBE calculation of a relaxed Zr3FeRu crystal, from the Alexandria database.

Computed properties:
Crystal system = cubic
Density = 6.8 Mg/m³
Total DFT energy (no corrections) = -0.6052 Ry/atom
Calculated volume = 105 Å³ per cell

abc: 4.7131 4.7131 4.7131
angles: 90.00 90.00 90.00
Sites, in units of the cell vectors:
Zr 0.0000 0.0000 0.5000
Zr 0.0000 0.5000 0.0000
Zr 0.5000 0.0000 0.0000
Fe 0.0000 0.0000 0.0000
Ru 0.5000 0.5000 0.5000